# 1
This record from Alexandria describes a relaxed Cs2KSi2 crystal. The functional is PBE.

Structure (extended XYZ):
```
5
Lattice="-2.844 4.624 1.663 -4.833 -2.283 -1.915 -4.960 -1.819 6.269" Properties=species:S:1:pos:R:3 pbc="T T T"
Cs -5.821 1.988 3.903
K 0.000 0.000 0.000
Cs -6.816 -1.466 2.114
Si -8.626 -0.189 5.160
Si -4.011 0.711 0.857
```

Summary:
* symmetry: No. 139
* ΔE_f (raw): 0.22 eV per atom
* energy relative to the lowest polymorph listed for this composition: 0.146 eV per atom
* crystal system: tetragonal
* total magnetic moment: 0.000 μB/atom

***

# 2
This record from Alexandria describes a relaxed BaCdSi2 crystal. The functional is PBE.

Structure (extended XYZ):
```
4
Lattice="-1.108 0.056 -4.461 3.594 -1.278 -0.908 -1.200 -6.051 0.222" Properties=species:S:1:pos:R:3 pbc="T T T"
Si 2.484 -6.628 -0.700
Ba 0.045 -1.804 -2.402
Si 1.108 -4.365 -0.330
Cd 1.242 -5.469 -2.745
```

Summary:
* symmetry: No. 10
* ΔE_f (raw): 0.01 eV per atom
* crystal system: monoclinic
* total magnetic moment: 0.000 μB/atom

***

# 3
This record from Alexandria describes a relaxed Na2Ge4Ir3Pt crystal. The functional is PBE.

Structure (extended XYZ):
```
10
Lattice="-0.385 1.922 3.665 -3.862 1.155 -1.012 -3.766 -8.865 4.253" Properties=species:S:1:pos:R:3 pbc="T T T"
Ir -1.883 -4.433 2.127
Pt -4.007 -2.894 3.453
Ge -2.583 -4.666 4.532
Ge 0.000 0.000 0.000
Ge -2.124 1.539 1.327
Na -4.746 -6.050 2.674
Na -1.143 -1.276 2.906
Ir -3.463 -6.739 5.526
Ge -3.307 -2.661 1.048
Ir -2.426 -0.588 0.053
```

Summary:
* symmetry: No. 115
* formation energy: -349 meV/atom
* crystal system: tetragonal
* total magnetic moment: 0.000 μB/atom